Below is HgBiO3 after structural relaxation, with properties calculated at the PBE level.

The structure in POSCAR format:
```
HgBiO3
1.0
6.136 0.011 0.008
3.263 5.197 0.008
3.263 1.808 4.872
Hg Bi O
2 2 6
Direct
0.750 0.750 0.750
0.250 0.250 0.250
0.500 0.500 0.500
0.000 0.000 0.000
0.250 0.627 0.873
0.127 0.750 0.373
0.373 0.127 0.750
0.627 0.873 0.250
0.873 0.250 0.627
0.750 0.373 0.127
```

Output
Magnetization, μB/f.u.: 0.0
Formation energy from raw total energies, eV/f.u.: -3.38
Space-group type: No. 167
D(E_F), states/eV/cell: 4.05



Below is HgBi2OsO8 after structural relaxation, with properties calculated at the PBE level.

The structure in POSCAR format:
```
HgBi2OsO8
1.0
4.905 -0.145 0.060
-0.128 4.894 0.044
0.097 0.082 7.456
Hg Bi Os O
1 2 1 8
Direct
0.000 0.000 0.500
0.479 0.478 0.751
0.521 0.522 0.249
0.000 0.000 0.000
0.142 0.780 0.181
0.722 0.726 0.966
0.783 0.147 0.182
0.858 0.220 0.819
0.278 0.274 0.034
0.217 0.853 0.818
0.695 0.696 0.521
0.305 0.304 0.479
```

Output
Magnetization, μB/f.u.: 0.0
Formation energy from raw total energies, eV/f.u.: -10.82
Space-group type: No. 2
D(E_F), states/eV/cell: 0.36



Below is HgBiPO2 after structural relaxation, with properties calculated at the PBE level.

The structure in POSCAR format:
```
HgBiPO2
1.0
4.260 0.000 0.000
0.000 4.260 0.000
0.000 0.000 4.995
P Bi O Hg
1 1 2 1
Direct
0.000 0.000 0.500
0.500 0.500 0.500
0.000 0.500 0.000
0.500 0.000 0.000
0.000 0.000 0.000
```

Output
Magnetization, μB/f.u.: 0.0
Formation energy from raw total energies, eV/f.u.: 2.00
Excess energy over the best structure of this formula in the dataset, meV/atom: 409.9
Space-group type: No. 123
D(E_F), states/eV/cell: 3.47



Below is HgBiP2O8 after structural relaxation, with properties calculated at the PBE level.

The structure in POSCAR format:
```
HgBiP2O8
1.0
4.969 0.000 0.000
2.485 4.304 0.000
2.485 1.435 7.295
Hg Bi P O
1 1 2 8
Direct
0.500 0.500 0.500
0.000 0.000 0.000
0.246 0.246 0.263
0.754 0.754 0.737
0.176 0.176 0.473
0.557 0.288 0.192
0.824 0.824 0.527
0.963 0.557 0.192
0.037 0.443 0.808
0.288 0.963 0.192
0.712 0.037 0.808
0.443 0.712 0.808
```

Output
Magnetization, μB/f.u.: 0.0
Formation energy from raw total energies, eV/f.u.: -17.87
Space-group type: No. 148
D(E_F), states/eV/cell: 5.49



Below is HgBiPO2 after structural relaxation, with properties calculated at the PBE level.

The structure in POSCAR format:
```
HgBiPO2
1.0
4.153 0.000 0.000
0.000 4.153 0.000
0.000 0.000 5.663
P Bi O Hg
1 1 2 1
Direct
0.000 0.000 0.500
0.000 0.000 0.000
0.000 0.500 0.000
0.500 0.000 0.000
0.500 0.500 0.500
```

Output
Magnetization, μB/f.u.: 0.0
Formation energy from raw total energies, eV/f.u.: -0.05
Excess energy over the best structure of this formula in the dataset, meV/atom: 0.0
Space-group type: No. 123
D(E_F), states/eV/cell: 2.47



Below is PaHg2BiO6 after structural relaxation, with properties calculated at the PBE level.

The structure in POSCAR format:
```
PaHg2BiO6
1.0
5.962 0.000 0.000
2.981 5.164 0.000
2.981 1.721 5.221
Pa Hg Bi O
1 2 1 6
Direct
0.816 0.816 0.552
0.571 0.571 0.286
0.061 0.061 0.817
0.316 0.316 0.052
0.584 0.182 0.306
0.182 0.928 0.306
0.928 0.584 0.306
0.450 0.704 0.797
0.704 0.048 0.797
0.048 0.450 0.797
```

Output
Magnetization, μB/f.u.: 0.0
Formation energy from raw total energies, eV/f.u.: -16.42
Space-group type: No. 148
D(E_F), states/eV/cell: 0.00



Below is PaHgBiO after structural relaxation, with properties calculated at the PBE level.

The structure in POSCAR format:
```
PaHgBiO
1.0
-2.789 -0.409 2.878
-0.005 -3.988 -0.572
8.907 -1.223 8.459
Pa Hg Bi O
2 2 2 2
Direct
0.750 0.750 0.901
0.250 0.250 0.099
0.250 0.750 0.500
0.750 0.250 0.500
0.750 0.750 0.239
0.250 0.250 0.761
0.750 0.250 0.000
0.250 0.750 0.000
```

Output
Magnetization, μB/f.u.: 0.1
Formation energy from raw total energies, eV/f.u.: -5.33
Space-group type: No. 129
D(E_F), states/eV/cell: 4.02



Below is HgBiPdO4 after structural relaxation, with properties calculated at the PBE level.

The structure in POSCAR format:
```
HgBiPdO4
1.0
6.065 0.000 0.000
-3.032 6.404 -0.130
0.000 -3.572 5.875
Hg Bi Pd O
2 2 2 8
Direct
0.823 0.646 0.073
0.177 0.354 0.927
0.500 0.000 0.500
0.500 0.000 0.000
0.500 0.500 0.500
0.000 0.500 0.500
0.712 0.424 0.656
0.238 0.935 0.218
0.698 0.935 0.218
0.712 0.424 0.267
0.288 0.576 0.733
0.762 0.065 0.782
0.302 0.065 0.782
0.288 0.576 0.344
```

Output
Magnetization, μB/f.u.: 0.0
Formation energy from raw total energies, eV/f.u.: -3.85
Space-group type: No. 74
D(E_F), states/eV/cell: 3.79



Below is HgBiPd2O after structural relaxation, with properties calculated at the PBE level.

The structure in POSCAR format:
```
HgBiPd2O
1.0
-3.206 -2.148 -3.226
1.955 -5.092 1.449
-3.463 -0.294 3.637
O Bi Pd Hg
1 1 2 1
Direct
0.500 0.500 0.500
0.000 0.500 0.000
0.000 0.000 0.500
0.500 0.000 0.000
0.000 0.000 0.000
```

Output
Magnetization, μB/f.u.: 0.0
Formation energy from raw total energies, eV/f.u.: 6.32
Space-group type: No. 123
D(E_F), states/eV/cell: 4.41



Below is PmHgBi2O4 after structural relaxation, with properties calculated at the PBE level.

The structure in POSCAR format:
```
PmHgBi2O4
1.0
4.026 0.000 0.000
0.000 4.026 0.000
0.000 0.000 9.141
Pm Hg Bi O
1 1 2 4
Direct
0.000 0.000 0.000
0.000 0.000 0.500
0.500 0.500 0.275
0.500 0.500 0.725
0.000 0.500 0.157
0.500 0.000 0.843
0.500 0.000 0.157
0.000 0.500 0.843
```

Output
Magnetization, μB/f.u.: 0.0
Formation energy from raw total energies, eV/f.u.: -13.16
Space-group type: No. 123
D(E_F), states/eV/cell: 2.85



Below is PrHgBi2O4 after structural relaxation, with properties calculated at the PBE level.

The structure in POSCAR format:
```
PrHgBi2O4
1.0
4.080 0.000 0.000
0.000 4.080 0.000
0.000 0.000 9.059
Pr Hg Bi O
1 1 2 4
Direct
0.000 0.000 0.000
0.000 0.000 0.500
0.500 0.500 0.277
0.500 0.500 0.723
0.000 0.500 0.162
0.500 0.000 0.838
0.500 0.000 0.162
0.000 0.500 0.838
```

Output
Magnetization, μB/f.u.: 0.0
Formation energy from raw total energies, eV/f.u.: -12.96
Space-group type: No. 123
D(E_F), states/eV/cell: 2.98



Below is PuHgBi2O6 after structural relaxation, with properties calculated at the PBE level.

The structure in POSCAR format:
```
PuHgBi2O6
1.0
6.014 0.001 0.002
3.007 5.208 0.001
3.008 1.736 5.974
Pu Hg Bi O
1 1 2 6
Direct
0.329 0.329 0.014
0.803 0.803 0.591
0.535 0.536 0.393
0.000 0.000 0.999
0.526 0.335 0.198
0.335 0.941 0.198
0.941 0.527 0.198
0.308 0.708 0.808
0.708 0.176 0.808
0.177 0.308 0.808
```

Output
Magnetization, μB/f.u.: 2.0
Formation energy from raw total energies, eV/f.u.: -15.12
Space-group type: No. 146
D(E_F), states/eV/cell: 6.87



Below is PuHgBiO6 after structural relaxation, with properties calculated at the PBE level.

The structure in POSCAR format:
```
PuHgBiO6
1.0
5.872 0.000 0.000
-2.936 5.085 0.000
0.000 0.000 9.435
Pu Hg Bi O
2 2 2 12
Direct
0.667 0.333 0.250
0.333 0.667 0.750
0.000 0.000 0.000
0.000 0.000 0.500
0.333 0.667 0.250
0.667 0.333 0.750
0.665 0.623 0.133
0.958 0.335 0.133
0.335 0.958 0.633
0.042 0.665 0.867
0.377 0.335 0.367
0.958 0.623 0.367
0.623 0.958 0.867
0.665 0.042 0.367
0.042 0.377 0.633
0.377 0.042 0.133
0.623 0.665 0.633
0.335 0.377 0.867
```

Output
Magnetization, μB/f.u.: 1.0
Formation energy from raw total energies, eV/f.u.: -13.23
Space-group type: No. 163
D(E_F), states/eV/cell: 0.13



Below is PuHgBi2O8 after structural relaxation, with properties calculated at the PBE level.

The structure in POSCAR format:
```
PuHgBi2O8
1.0
5.072 -0.111 -0.003
-0.095 5.070 -0.005
0.004 0.008 7.348
Pu Hg Bi O
1 1 2 8
Direct
0.000 0.000 0.000
0.000 0.000 0.500
0.500 0.500 0.750
0.500 0.500 0.250
0.187 0.812 0.197
0.701 0.702 0.000
0.813 0.188 0.197
0.813 0.188 0.803
0.299 0.298 0.000
0.187 0.812 0.803
0.698 0.698 0.500
0.302 0.302 0.500
```

Output
Magnetization, μB/f.u.: 1.1
Formation energy from raw total energies, eV/f.u.: -16.64
Space-group type: No. 65
D(E_F), states/eV/cell: 2.80



Below is PuHgBiO after structural relaxation, with properties calculated at the PBE level.

The structure in POSCAR format:
```
PuHgBiO
1.0
-2.041 -0.185 -2.531
-0.015 -3.247 0.249
-6.754 2.231 7.378
Pu Hg Bi O
1 1 1 1
Direct
0.901 0.901 0.802
0.197 0.197 0.393
0.541 0.541 0.083
0.373 0.373 0.746
```

Output
Magnetization, μB/f.u.: 5.2
Formation energy from raw total energies, eV/f.u.: -4.47
Space-group type: No. 107
D(E_F), states/eV/cell: 8.19



Below is Rb2HgBiO after structural relaxation, with properties calculated at the PBE level.

The structure in POSCAR format:
```
Rb2HgBiO
1.0
5.896 0.000 0.000
0.000 5.896 0.000
0.000 0.000 4.730
O Bi Rb Hg
1 1 2 1
Direct
0.000 0.000 0.000
0.000 0.000 0.500
0.000 0.500 0.000
0.500 0.000 0.000
0.500 0.500 0.500
```

Output
Magnetization, μB/f.u.: 0.0
Formation energy from raw total energies, eV/f.u.: -2.84
Space-group type: No. 123
D(E_F), states/eV/cell: 3.29



Below is ReHgBi2O8 after structural relaxation, with properties calculated at the PBE level.

The structure in POSCAR format:
```
ReHgBi2O8
1.0
4.953 -0.125 -0.003
-0.107 4.948 -0.005
0.004 0.008 7.364
Re Hg Bi O
1 1 2 8
Direct
0.000 0.000 0.000
0.000 0.000 0.500
0.500 0.500 0.754
0.500 0.500 0.246
0.180 0.818 0.185
0.715 0.717 0.000
0.820 0.182 0.185
0.820 0.182 0.815
0.285 0.283 0.000
0.180 0.818 0.815
0.695 0.696 0.500
0.305 0.304 0.500
```

Output
Magnetization, μB/f.u.: 0.0
Formation energy from raw total energies, eV/f.u.: -13.13
Space-group type: No. 10
D(E_F), states/eV/cell: 3.41



Below is HgBi2RhO6 after structural relaxation, with properties calculated at the PBE level.

The structure in POSCAR format:
```
HgBi2RhO6
1.0
5.815 0.000 0.000
2.907 5.035 0.000
2.908 1.679 5.267
Hg Bi Rh O
1 2 1 6
Direct
0.757 0.757 0.729
0.532 0.532 0.405
0.006 0.006 0.983
0.331 0.331 0.006
0.574 0.253 0.205
0.253 0.968 0.205
0.968 0.574 0.205
0.392 0.695 0.759
0.695 0.154 0.759
0.155 0.392 0.759
```

Output
Magnetization, μB/f.u.: 0.0
Formation energy from raw total energies, eV/f.u.: -8.47
Space-group type: No. 146
D(E_F), states/eV/cell: 4.03



Below is HgBi2RhO8 after structural relaxation, with properties calculated at the PBE level.

The structure in POSCAR format:
```
HgBi2RhO8
1.0
-1.023 -0.814 4.714
2.602 -4.102 -0.183
5.787 3.588 1.875
Hg Bi Rh O
1 2 1 8
Direct
0.000 0.000 0.500
0.500 0.500 0.756
0.500 0.500 0.244
0.000 0.000 0.000
0.170 0.800 0.215
0.695 0.730 0.000
0.830 0.200 0.215
0.830 0.200 0.785
0.305 0.270 0.000
0.170 0.800 0.785
0.679 0.698 0.500
0.321 0.302 0.500
```

Output
Magnetization, μB/f.u.: 1.1
Formation energy from raw total energies, eV/f.u.: -7.60
Space-group type: No. 10
D(E_F), states/eV/cell: 5.97



Below is HgBi2RuO8 after structural relaxation, with properties calculated at the PBE level.

The structure in POSCAR format:
```
HgBi2RuO8
1.0
4.925 -0.096 0.005
-0.075 4.890 0.001
0.015 0.017 7.225
Hg Bi Ru O
1 2 1 8
Direct
0.000 0.000 0.500
0.498 0.497 0.755
0.502 0.503 0.245
0.000 0.000 0.000
0.166 0.801 0.198
0.704 0.733 0.997
0.826 0.192 0.198
0.834 0.199 0.802
0.296 0.267 0.003
0.174 0.808 0.802
0.686 0.699 0.502
0.314 0.301 0.498
```

Output
Magnetization, μB/f.u.: 0.0
Formation energy from raw total energies, eV/f.u.: -9.10
Space-group type: No. 2
D(E_F), states/eV/cell: 4.87